1.
Entry from the Alexandria database: a PBEsol-optimized structure of MgTcP2 (meta-GGA SCAN).

## Properties
DFT formation energy   0.45 eV/atom
D(E_F)   0.6591 states/eV/atom
Total magnetization   0.00 μB/f.u.

a b c (Å): 6.069 6.069 6.069
angles (deg): 90.00 90.00 90.00
Space group F-43m (No. 216)
Unique sites:
Mg1 0.000 0.000 0.000 x4
Tc1 0.250 0.250 0.250 x4
P1 0.000 0.000 0.500 x4
P2 0.250 0.250 0.750 x4


2.
Entry from the Alexandria database: a PBEsol-optimized structure of InNi2W (meta-GGA SCAN).

## Properties
DFT formation energy   0.17 eV/atom
D(E_F)   0.4003 states/eV/atom
Total magnetization   0.00 μB/f.u.

a b c (Å): 4.130 2.721 9.825
angles (deg): 90.00 90.00 90.00
Space group Amm2 (No. 38)
Unique sites:
In1 0.000 0.000 0.000 x2
Ni1 0.000 0.000 0.263 x2
Ni2 0.500 0.000 0.410 x2
W1 0.500 0.000 0.681 x2


3.
Entry from the Alexandria database: a PBEsol-optimized structure of Rb2ScAgF6 (meta-GGA SCAN).

## Properties
D(E_F)   0.0000 states/eV/atom
Formation energy without anion corrections   -3145 meV per atom
Total magnetization   0.09 μB/f.u.

a b c (Å): 8.778 8.778 8.778
angles (deg): 90.00 90.00 90.00
Space group Fm-3m (No. 225)
Unique sites:
Rb1 0.250 0.250 0.250 x8
Sc1 0.000 0.000 0.000 x4
Ag1 0.000 0.000 0.500 x4
F1 0.000 0.000 0.229 x24